CaNiAsO5 | PBE+U | relaxed

The structure in POSCAR format:
```
CaNiAsO5
1.0
5.8559 0.0000 0.0000
0.0000 7.5799 0.0000
0.0000 0.0000 8.8789
Ca Ni As O
4 4 4 20
direct
0.0279 0.1615 0.1645
0.4721 0.8385 0.6645
0.5279 0.3385 0.8355
0.9721 0.6615 0.3355
0.2457 0.2547 0.5034
0.2543 0.7453 0.0034
0.7457 0.2453 0.4966
0.7543 0.7547 0.9966
0.0168 0.5951 0.7014
0.4832 0.4049 0.2014
0.5168 0.9049 0.2986
0.9832 0.0951 0.7986
0.0013 0.1292 0.4224
0.0098 0.9100 0.9145
0.0816 0.7623 0.5797
0.2440 0.1205 0.7091
0.2450 0.4170 0.3164
0.2550 0.5830 0.8164
0.2560 0.8795 0.2091
0.4184 0.2377 0.0797
0.4902 0.0900 0.4145
0.4987 0.8708 0.9224
0.5013 0.3708 0.5776
0.5098 0.5900 0.0855
0.5816 0.7377 0.4203
0.7440 0.3795 0.2909
0.7450 0.0830 0.6836
0.7550 0.9170 0.1836
0.7560 0.6205 0.7909
0.9184 0.2623 0.9203
0.9902 0.4100 0.5855
0.9987 0.6292 0.0776
```

Output
- symmetry = P2_12_12_1
- raw total energy (eV/cell) = -187.5

CaNiAs2O8 | PBE+U | relaxed

The structure in POSCAR format:
```
CaNiAs2O8
1.0
4.9534 0.0000 0.0000
-2.4767 4.2898 0.0000
0.0000 0.0000 6.9620
Ca Ni As O
1 1 2 8
direct
0.0000 0.0000 0.0000
0.0000 0.0000 0.5000
0.3333 0.6667 0.2728
0.6667 0.3333 0.7272
0.0164 0.7119 0.3316
0.2881 0.3045 0.3316
0.3045 0.0164 0.6684
0.3333 0.6667 0.0297
0.6667 0.3333 0.9703
0.6955 0.9836 0.3316
0.7119 0.6955 0.6684
0.9836 0.2881 0.6684
```

Output
- symmetry = P-3
- raw total energy (eV/cell) = -68.6

Ca3Ni3As4O16 | PBE+U | relaxed

The structure in POSCAR format:
```
Ca3Ni3As4O16
1.0
9.0687 0.0000 0.0000
0.0000 5.1321 0.0000
-7.5222 0.0000 15.4485
Ca Ni As O
6 6 8 32
direct
0.0000 0.0000 0.0000
0.0000 0.5000 0.5000
0.3085 0.0325 0.2714
0.3085 0.4675 0.7714
0.6915 0.5325 0.2286
0.6915 0.9675 0.7286
0.2020 0.5240 0.3772
0.2020 0.9760 0.8772
0.5000 0.0000 0.5000
0.5000 0.5000 0.0000
0.7980 0.0240 0.1228
0.7980 0.4760 0.6228
0.0391 0.5140 0.1565
0.0391 0.9860 0.6565
0.4359 0.5208 0.5958
0.4359 0.9792 0.0958
0.5641 0.0208 0.9042
0.5641 0.4792 0.4042
0.9609 0.0140 0.3435
0.9609 0.4860 0.8435
0.0200 0.6492 0.6405
0.0200 0.8508 0.1405
0.1005 0.1401 0.5891
0.1005 0.3599 0.0891
0.1457 0.5969 0.8493
0.1457 0.9031 0.3493
0.1930 0.0426 0.7598
0.1930 0.4574 0.2598
0.2570 0.5792 0.5053
0.2570 0.9208 0.0053
0.4130 0.2138 0.9147
0.4130 0.2862 0.4147
0.4292 0.6236 0.6876
0.4292 0.8764 0.1876
0.4893 0.7078 0.8980
0.4893 0.7922 0.3980
0.5107 0.2078 0.6020
0.5107 0.2922 0.1020
0.5708 0.1236 0.8124
0.5708 0.3764 0.3124
0.5870 0.7138 0.5853
0.5870 0.7862 0.0853
0.7430 0.0792 0.9947
0.7430 0.4208 0.4947
0.8070 0.5426 0.7402
0.8070 0.9574 0.2402
0.8543 0.0969 0.6507
0.8543 0.4031 0.1507
0.8995 0.6401 0.9109
0.8995 0.8599 0.4109
0.9800 0.1492 0.8595
0.9800 0.3508 0.3595
```

Output
- symmetry = P2_1/c
- raw total energy (eV/cell) = -313.2

CaNiAsO4 | PBE+U | relaxed

The structure in POSCAR format:
```
CaNiAsO4
1.0
-3.0087 3.5622 4.1635
3.0087 -3.5622 4.1635
3.0087 3.5622 -4.1635
Ca Ni As O
2 2 2 8
direct
0.0000 0.0000 0.0000
0.5000 0.0000 0.5000
0.5000 0.0000 0.0000
0.5000 0.5000 0.5000
0.1401 0.3901 0.7500
0.8599 0.6099 0.2500
0.1733 0.7208 0.4525
0.2317 0.2792 0.9525
0.2616 0.2721 0.5105
0.2616 0.7511 0.9895
0.7384 0.2489 0.0105
0.7384 0.7279 0.4895
0.7683 0.7208 0.0475
0.8267 0.2792 0.5475
```

Output
- symmetry = Imma
- raw total energy (eV/cell) = -80.4

no.,theoretical density (g/cm3)
1,4.28
2,4.23
3,3.94
4,4.42